No. 1
A plane-wave DFT calculation with GGA-PBE was carried out for a relaxed In3Hg12Te5 crystal.

a = 15.0565 Å, b = 15.0565 Å, c = 15.0565 Å
α = 109.47°, β = 109.47°, γ = 109.47°
Atoms (fractional coordinates):
1 In 0.1250 0.2500 0.3750
2 In 0.1250 0.3750 0.7500
3 In 0.2500 0.3750 0.1250
4 In 0.2500 0.8750 0.6250
5 In 0.3750 0.1250 0.2500
6 In 0.3750 0.7500 0.1250
7 In 0.6250 0.2500 0.8750
8 In 0.6250 0.8750 0.7500
9 In 0.7500 0.1250 0.3750
10 In 0.7500 0.6250 0.8750
11 In 0.8750 0.6250 0.2500
12 In 0.8750 0.7500 0.6250
13 Hg 0.0635 0.6303 0.3891
14 Hg 0.0635 0.9332 0.6744
15 Hg 0.0668 0.2412 0.1303
16 Hg 0.0668 0.3256 0.9365
17 Hg 0.1109 0.7412 0.6744
18 Hg 0.1109 0.8697 0.4365
19 Hg 0.1303 0.0668 0.2412
20 Hg 0.1303 0.5635 0.8891
21 Hg 0.1744 0.2412 0.6109
22 Hg 0.1744 0.4332 0.5635
23 Hg 0.2412 0.1303 0.0668
24 Hg 0.2412 0.6109 0.1744
25 Hg 0.2588 0.3256 0.8891
26 Hg 0.2588 0.4332 0.3697
27 Hg 0.3256 0.8891 0.2588
28 Hg 0.3256 0.9365 0.0668
29 Hg 0.3697 0.2588 0.4332
30 Hg 0.3697 0.6109 0.9365
31 Hg 0.3891 0.0635 0.6303
32 Hg 0.3891 0.8256 0.7588
33 Hg 0.4332 0.3697 0.2588
34 Hg 0.4332 0.5635 0.1744
35 Hg 0.4365 0.1109 0.8697
36 Hg 0.4365 0.8256 0.5668
37 Hg 0.5635 0.1744 0.4332
38 Hg 0.5635 0.8891 0.1303
39 Hg 0.5668 0.4365 0.8256
40 Hg 0.5668 0.6303 0.7412
41 Hg 0.6109 0.1744 0.2412
42 Hg 0.6109 0.9365 0.3697
43 Hg 0.6303 0.3891 0.0635
44 Hg 0.6303 0.7412 0.5668
45 Hg 0.6744 0.0635 0.9332
46 Hg 0.6744 0.1109 0.7412
47 Hg 0.7412 0.5668 0.6303
48 Hg 0.7412 0.6744 0.1109
49 Hg 0.7588 0.3891 0.8256
50 Hg 0.7588 0.8697 0.9332
51 Hg 0.8256 0.5668 0.4365
52 Hg 0.8256 0.7588 0.3891
53 Hg 0.8697 0.4365 0.1109
54 Hg 0.8697 0.9332 0.7588
55 Hg 0.8891 0.1303 0.5635
56 Hg 0.8891 0.2588 0.3256
57 Hg 0.9332 0.6744 0.0635
58 Hg 0.9332 0.7588 0.8697
59 Hg 0.9365 0.0668 0.3256
60 Hg 0.9365 0.3697 0.6109
61 Te 0.0000 0.0000 0.0000
62 Te 0.0000 0.0000 0.5000
63 Te 0.0000 0.5000 0.0000
64 Te 0.0000 0.5000 0.5000
65 Te 0.1250 0.7500 0.8750
66 Te 0.1250 0.8750 0.2500
67 Te 0.2500 0.1250 0.8750
68 Te 0.2500 0.6250 0.3750
69 Te 0.3750 0.2500 0.6250
70 Te 0.3750 0.6250 0.7500
71 Te 0.5000 0.0000 0.0000
72 Te 0.5000 0.0000 0.5000
73 Te 0.5000 0.5000 0.0000
74 Te 0.5000 0.5000 0.5000
75 Te 0.6250 0.3750 0.2500
76 Te 0.6250 0.7500 0.3750
77 Te 0.7500 0.3750 0.6250
78 Te 0.7500 0.8750 0.1250
79 Te 0.8750 0.1250 0.7500
80 Te 0.8750 0.2500 0.1250

formation energy (no corrections): 0.0109 eV per atom
electronic total energy: -1.37 eV per atom

***

No. 2
A plane-wave DFT calculation with GGA-PBE was carried out for a relaxed ErCoH3 crystal.

a = 3.4637 Å, b = 3.4637 Å, c = 3.4637 Å
α = 90.00°, β = 90.00°, γ = 90.00°
Atoms (fractional coordinates):
1 Er 0.0000 0.0000 0.0000
2 Co 0.5000 0.5000 0.5000
3 H 0.0000 0.5000 0.5000
4 H 0.5000 0.0000 0.5000
5 H 0.5000 0.5000 0.0000

electronic total energy: -4.82 eV per atom

***

No. 3
A plane-wave DFT calculation with GGA-PBE was carried out for a relaxed YSc2 crystal.

a = 15.4826 Å, b = 15.4826 Å, c = 15.4826 Å
α = 167.77°, β = 167.77°, γ = 17.32°
Atoms (fractional coordinates):
1 Y 0.3750 0.6250 0.7500
2 Y 0.6250 0.3750 0.2500
3 Sc 0.0446 0.7946 0.2500
4 Sc 0.2054 0.9554 0.2500
5 Sc 0.7946 0.0446 0.7500
6 Sc 0.9554 0.2054 0.7500

excess energy over the best structure of this formula in the dataset: 195.6 meV per atom
energy relative to the elements: 0.66 eV/f.u.
electronic total energy: -6.16 eV per atom

***

No. 4
A plane-wave DFT calculation with GGA-PBE was carried out for a relaxed IrRuRh2 crystal.

a = 4.7075 Å, b = 4.7075 Å, c = 4.7051 Å
α = 99.64°, β = 99.64°, γ = 33.57°
Atoms (fractional coordinates):
1 Ir 0.0000 0.0000 0.0000
2 Ru 0.5000 0.5000 0.5000
3 Rh 0.2498 0.2498 0.7485
4 Rh 0.7502 0.7502 0.2515

excess energy over the best structure of this formula in the dataset: 22.9 meV per atom
energy relative to the elements: 0.05 eV/f.u.
electronic total energy: -8.20 eV per atom

***

No. 5
A plane-wave DFT calculation with GGA-PBE was carried out for a relaxed ZrCuCl2 crystal.

a = 4.6677 Å, b = 4.6677 Å, c = 3.2734 Å
α = 90.00°, β = 90.00°, γ = 99.76°
Atoms (fractional coordinates):
1 Zr 0.0000 0.0000 0.0000
2 Cu 0.5000 0.5000 0.0000
3 Cl 0.0000 0.5000 0.5000
4 Cl 0.5000 0.0000 0.5000

formation energy (no corrections): -0.1895 eV per atom
excess energy over the best structure of this formula in the dataset: 647.7 meV per atom
electronic total energy: -4.27 eV per atom

***

No. 6
A plane-wave DFT calculation with GGA-PBE was carried out for a relaxed TaSi2Ir crystal.

a = 4.1788 Å, b = 4.1788 Å, c = 5.4576 Å
α = 100.47°, β = 100.47°, γ = 39.88°
Atoms (fractional coordinates):
1 Ta 0.0000 0.0000 0.0000
2 Si 0.2462 0.2462 0.7151
3 Si 0.7538 0.7538 0.2849
4 Ir 0.5000 0.5000 0.5000

formation energy (no corrections): -0.2958 eV per atom
electronic total energy: -8.19 eV per atom